[1]
A plane-wave DFT calculation with PBE was carried out for a relaxed Be2GePO crystal.

Results
The uncorrected formation energy comes out at 0.28 eV/atom. Its total energy is -0.1546 Ha/atom.

Unit cell a=4.4170 b=4.4170 c=3.3715 alpha=90.00 beta=90.00 gamma=90.00
Closest atoms and distances in Å follow each position.
Fractional positions:
Be1 0.0000 0.5000 0.0000  2 P 2.21
Be2 0.5000 0.0000 0.0000  2 P 2.21
Ge1 0.0000 0.0000 0.5000  8 Be 2.78
P1 0.5000 0.5000 0.0000  2 O 1.69
O1 0.5000 0.5000 0.5000  2 P 1.69



[2]
A plane-wave DFT calculation with PBE was carried out for a relaxed Li3NpSe2N crystal.

Results
The uncorrected formation energy comes out at -1.08 eV/atom. Its total energy is -0.2182 Ha/atom.

Unit cell a=7.5778 b=7.5778 c=7.5778 alpha=147.70 beta=146.97 gamma=46.86
Closest atoms and distances in Å follow each position.
Fractional positions:
Li1 0.0000 0.0000 0.0000  2 N 2.11
Li2 0.1703 0.6703 0.5000  1 N 2.37, 1 Se 2.61
Li3 0.8297 0.3297 0.5000  1 N 2.37, 1 Se 2.61
Np1 0.5000 0.5000 0.0000  2 N 2.15
Se1 0.3577 0.8577 0.5000  1 Li 2.61, 2 Np 2.89
Se2 0.6423 0.1423 0.5000  1 Li 2.61, 2 Np 2.89
N1 0.0000 0.5000 0.5000  2 Li 2.11, 2 Np 2.15



[3]
A plane-wave DFT calculation with PBE was carried out for a relaxed Cu5Ag3Br12 crystal.

Results
The uncorrected formation energy comes out at -0.24 eV/atom. Its total energy is -0.0992 Ha/atom.

Unit cell a=14.1277 b=14.1277 c=14.1277 alpha=109.47 beta=109.47 gamma=109.47
Closest atoms and distances in Å follow each position.
Fractional positions:
Cu1 0.0000 0.0000 0.0000  6 Br 2.57
Cu2 0.0000 0.0000 0.5000  6 Br 2.57
Cu3 0.0000 0.5000 0.0000  6 Br 2.57
Cu4 0.0000 0.5000 0.5000  6 Br 2.57
Cu5 0.1250 0.7500 0.8750  4 Br 2.42
Cu6 0.1250 0.8750 0.2500  4 Br 2.42
Cu7 0.2500 0.1250 0.8750  4 Br 2.42
Cu8 0.2500 0.6250 0.3750  4 Br 2.42
Cu9 0.3750 0.2500 0.6250  4 Br 2.42
Cu10 0.3750 0.6250 0.7500  4 Br 2.42
Cu11 0.5000 0.0000 0.0000  6 Br 2.57
Cu12 0.5000 0.0000 0.5000  6 Br 2.57
Cu13 0.5000 0.5000 0.0000  6 Br 2.57
Cu14 0.5000 0.5000 0.5000  6 Br 2.57
Cu15 0.6250 0.3750 0.2500  4 Br 2.42
Cu16 0.6250 0.7500 0.3750  4 Br 2.42
Cu17 0.7500 0.3750 0.6250  4 Br 2.42
Cu18 0.7500 0.8750 0.1250  4 Br 2.42
Cu19 0.8750 0.1250 0.7500  4 Br 2.42
Cu20 0.8750 0.2500 0.1250  4 Br 2.42
Ag1 0.1250 0.2500 0.3750  4 Br 2.87
Ag2 0.1250 0.3750 0.7500  4 Br 2.87
Ag3 0.2500 0.3750 0.1250  4 Br 2.87
Ag4 0.2500 0.8750 0.6250  4 Br 2.87
Ag5 0.3750 0.1250 0.2500  4 Br 2.87
Ag6 0.3750 0.7500 0.1250  4 Br 2.87
Ag7 0.6250 0.2500 0.8750  4 Br 2.87
Ag8 0.6250 0.8750 0.7500  4 Br 2.87
Ag9 0.7500 0.1250 0.3750  4 Br 2.87
Ag10 0.7500 0.6250 0.8750  4 Br 2.87
Ag11 0.8750 0.6250 0.2500  4 Br 2.87
Ag12 0.8750 0.7500 0.6250  4 Br 2.87
Br1 0.0143 0.1850 0.1351  2 Cu 2.42-2.57
Br2 0.0143 0.3293 0.8792  2 Cu 2.42-2.57
Br3 0.0499 0.6850 0.6707  2 Cu 2.42-2.57
Br4 0.0499 0.8649 0.3792  2 Cu 2.42-2.57
Br5 0.1208 0.6351 0.4501  2 Cu 2.42-2.57
Br6 0.1208 0.9857 0.6707  2 Cu 2.42-2.57
Br7 0.1351 0.0143 0.1850  2 Cu 2.42-2.57
Br8 0.1351 0.6208 0.9501  2 Cu 2.42-2.57
Br9 0.1707 0.1850 0.5499  2 Cu 2.42-2.57
Br10 0.1707 0.4857 0.6208  2 Cu 2.42-2.57
Br11 0.1850 0.1351 0.0143  2 Cu 2.42-2.57
Br12 0.1850 0.5499 0.1707  2 Cu 2.42-2.57
Br13 0.3150 0.3293 0.9501  2 Cu 2.42-2.57
Br14 0.3150 0.4857 0.3649  2 Cu 2.42-2.57
Br15 0.3293 0.8792 0.0143  2 Cu 2.42-2.57
Br16 0.3293 0.9501 0.3150  2 Cu 2.42-2.57
Br17 0.3649 0.3150 0.4857  2 Cu 2.42-2.57
Br18 0.3649 0.5499 0.8792  2 Cu 2.42-2.57
Br19 0.3792 0.0499 0.8649  2 Cu 2.42-2.57
Br20 0.3792 0.8293 0.5143  2 Cu 2.42-2.57
Br21 0.4501 0.1208 0.6351  2 Cu 2.42-2.57
Br22 0.4501 0.8293 0.8150  2 Cu 2.42-2.57
Br23 0.4857 0.3649 0.3150  2 Cu 2.42-2.57
Br24 0.4857 0.6208 0.1707  2 Cu 2.42-2.57
Br25 0.5143 0.3792 0.8293  2 Cu 2.42-2.57
Br26 0.5143 0.6351 0.6850  2 Cu 2.42-2.57
Br27 0.5499 0.1707 0.1850  2 Cu 2.42-2.57
Br28 0.5499 0.8792 0.3649  2 Cu 2.42-2.57
Br29 0.6208 0.1707 0.4857  2 Cu 2.42-2.57
Br30 0.6208 0.9501 0.1351  2 Cu 2.42-2.57
Br31 0.6351 0.4501 0.1208  2 Cu 2.42-2.57
Br32 0.6351 0.6850 0.5143  2 Cu 2.42-2.57
Br33 0.6707 0.0499 0.6850  2 Cu 2.42-2.57
Br34 0.6707 0.1208 0.9857  2 Cu 2.42-2.57
Br35 0.6850 0.5143 0.6351  2 Cu 2.42-2.57
Br36 0.6850 0.6707 0.0499  2 Cu 2.42-2.57
Br37 0.8150 0.4501 0.8293  2 Cu 2.42-2.57
Br38 0.8150 0.8649 0.9857  2 Cu 2.42-2.57
Br39 0.8293 0.5143 0.3792  2 Cu 2.42-2.57
Br40 0.8293 0.8150 0.4501  2 Cu 2.42-2.57
Br41 0.8649 0.3792 0.0499  2 Cu 2.42-2.57
Br42 0.8649 0.9857 0.8150  2 Cu 2.42-2.57
Br43 0.8792 0.0143 0.3293  2 Cu 2.42-2.57
Br44 0.8792 0.3649 0.5499  2 Cu 2.42-2.57
Br45 0.9501 0.1351 0.6208  2 Cu 2.42-2.57
Br46 0.9501 0.3150 0.3293  2 Cu 2.42-2.57
Br47 0.9857 0.6707 0.1208  2 Cu 2.42-2.57
Br48 0.9857 0.8150 0.8649  2 Cu 2.42-2.57



[4]
A plane-wave DFT calculation with PBE was carried out for a relaxed Al2BS4 crystal.

Results
The uncorrected formation energy comes out at -0.57 eV/atom. Its total energy is -0.1822 Ha/atom.

Unit cell a=5.8088 b=5.8088 c=5.8088 alpha=121.39 beta=121.39 gamma=87.60
Closest atoms and distances in Å follow each position.
Fractional positions:
Al1 0.2500 0.7500 0.5000  4 S 2.34
Al2 0.7500 0.2500 0.5000  4 S 2.34
B1 0.0000 0.0000 0.0000  4 S 1.94
S1 0.0987 0.6761 0.0000  1 B 1.94
S2 0.3239 0.3239 0.4227  1 B 1.94
S3 0.6761 0.0987 0.0000  1 B 1.94
S4 0.9013 0.9013 0.5773  1 B 1.94



[5]
A plane-wave DFT calculation with PBE was carried out for a relaxed KCu2HSe crystal.

Results
Its total energy is -0.1300 Ha/atom.

Unit cell a=6.8185 b=4.2144 c=7.1820 alpha=90.00 beta=91.17 gamma=90.00
Closest atoms and distances in Å follow each position.
Fractional positions:
K1 0.2251 0.2500 0.3440  2 H 2.64
K2 0.7749 0.7500 0.6560  2 H 2.64
Cu1 0.2082 0.7500 0.9560  1 H 1.64
Cu2 0.4402 0.2500 0.8996  1 H 1.58
Cu3 0.5598 0.7500 0.1004  1 H 1.58
Cu4 0.7918 0.2500 0.0440  1 H 1.64
H1 0.3359 0.7500 0.1516  2 Cu 1.58-1.64
H2 0.6641 0.2500 0.8484  2 Cu 1.58-1.64
Se1 0.1183 0.2500 0.7882  3 Cu 2.32-2.50
Se2 0.8817 0.7500 0.2118  3 Cu 2.32-2.50



[6]
A plane-wave DFT calculation with PBE was carried out for a relaxed CoRe2Br crystal.

Results
The uncorrected formation energy comes out at 0.87 eV/atom. Its total energy is -0.2774 Ha/atom. For the excess energy over the best structure of this formula in the dataset, the calculation gives 7.611 kcal/mol of atoms.

Unit cell a=8.6294 b=8.6294 c=8.6294 alpha=19.05 beta=19.05 gamma=19.05
Closest atoms and distances in Å follow each position.
Fractional positions:
Co1 0.0000 0.0000 0.0000  6 Re 2.58, 6 Co 2.86
Re1 0.2552 0.2552 0.2552  3 Co 2.58, 3 Br 2.79, 6 Re 2.86
Re2 0.7448 0.7448 0.7448  3 Co 2.58, 3 Br 2.79, 6 Re 2.86
Br1 0.5000 0.5000 0.5000  6 Re 2.79, 6 Br 2.86



Q: Which formula does entry 1 have?
A: Be2GePO